1.
# meta-GGA SCAN Li5La5Si4N12, PBEsol geometry
data_Li5La5Si4N12
_cell_length_a 10.970
_cell_length_b 10.970
_cell_length_c 5.563
_cell_angle_alpha 90.00
_cell_angle_beta 90.00
_cell_angle_gamma 90.00
_space_group_name_H-M_alt 'P -4 b 2'
_space_group_IT_number 117
_space_group_name_Hall 'P -4 -2ab'
loop_
_atom_site_label
_atom_site_fract_x
_atom_site_fract_y
_atom_site_fract_z
_atom_site_occupancy
Li1 0.000 0.500 0.000 1
Li2 0.114 0.292 0.854 1
La1 0.000 0.500 0.500 1
La2 0.118 0.877 0.732 1
Si1 0.110 0.733 0.237 1
N1 0.032 0.333 0.196 1
N2 0.105 0.893 0.267 1
N3 0.172 0.672 0.500 1
N4 0.214 0.714 0.000 1
# Volume, Å³ per atom: 12.9
# Formation energy from raw total energies, eV/atom: -1.446
# Density, g/cm3: 5.01

=====

2.
# meta-GGA SCAN ZnSb2Rh, PBEsol geometry
data_ZnSb2Rh
_cell_length_a 3.176
_cell_length_b 3.176
_cell_length_c 7.689
_cell_angle_alpha 90.00
_cell_angle_beta 90.00
_cell_angle_gamma 90.00
_space_group_name_H-M_alt 'P 4/m m m'
_space_group_IT_number 123
_space_group_name_Hall '-P 4 2'
loop_
_atom_site_label
_atom_site_fract_x
_atom_site_fract_y
_atom_site_fract_z
_atom_site_occupancy
Zn1 0.000 0.000 0.000 1
Sb1 0.500 0.500 0.280 1
Rh1 0.000 0.000 0.500 1
# Volume, Å³ per atom: 19.4
# Formation energy from raw total energies, eV/atom: -0.009
# Density, g/cm3: 8.82